Record 1
Material: CaZn6Pd
Method: DFT, GGA-PBE
State: relaxed

Cell: 5.182 5.182 5.182 Å, 90.00 90.00 90.00°
Space group Pm-3 (No. 200)
Unique sites:
Ca1 0.000 0.000 0.000 (multiplicity 1)
Zn1 0.000 0.260 0.500 (multiplicity 6)
Pd1 0.500 0.500 0.500 (multiplicity 1)

Output
- Fermi-level density of states (states/eV/f.u.) = 2.3
- ρ (g/cm³) = 6.43
- total energy (hartree per atom) = -0.070
- crystal system = cubic

Record 2
Material: CaZnPd2
Method: DFT, GGA-PBE
State: relaxed

Cell: 5.613 6.950 9.477 Å, 90.00 90.00 90.00°
Space group Pmma (No. 51)
Unique sites:
Ca1 0.250 0.000 0.133 (multiplicity 2)
Ca2 0.250 0.500 0.316 (multiplicity 2)
Zn1 0.250 0.000 0.736 (multiplicity 2)
Zn2 0.250 0.500 0.794 (multiplicity 2)
Pd1 0.000 0.000 0.500 (multiplicity 2)
Pd2 0.000 0.500 0.000 (multiplicity 2)
Pd3 0.250 0.307 0.578 (multiplicity 4)

Output
- Fermi-level density of states (states/eV/f.u.) = 1.5
- ρ (g/cm³) = 5.72
- total energy (hartree per atom) = -0.133
- crystal system = orthorhombic

Record 3
Material: Ca2Zn2Pd
Method: DFT, GGA-PBE
State: relaxed

Cell: 7.025 7.025 4.547 Å, 90.00 90.00 90.00°
Space group P4/mbm (No. 127)
Unique sites:
Ca1 0.182 0.318 0.000 (multiplicity 4)
Zn1 0.128 0.628 0.500 (multiplicity 4)
Pd1 0.000 0.000 0.500 (multiplicity 2)

Output
- Fermi-level density of states (states/eV/f.u.) = 2.8
- energy above the most stable polymorph in this dataset (eV per formula unit) = 0.53
- ρ (g/cm³) = 4.70
- crystal system = tetragonal

Record 4
Material: CaZn4Pd4
Method: DFT, GGA-PBE
State: relaxed

Cell: 8.364 8.364 4.799 Å, 90.00 90.00 90.00°
Space group P4_2/n (No. 86, origin choice 2)
Unique sites:
Ca1 0.250 0.250 0.250 (multiplicity 2)
Zn1 0.030 0.899 0.205 (multiplicity 8)
Pd1 0.118 0.848 0.697 (multiplicity 8)

Output
- Fermi-level density of states (states/eV/f.u.) = 3.7
- ρ (g/cm³) = 7.19
- total energy (hartree per atom) = -0.129
- crystal system = tetragonal

Record 5
Material: CaZn10Pd2
Method: DFT, GGA-PBE
State: relaxed

Cell: 5.482 12.431 12.528 Å, 90.00 90.00 90.00°
Space group Fmmm (No. 69)
Unique sites:
Ca1 0.000 0.000 0.000 (multiplicity 4)
Zn1 0.000 0.110 0.391 (multiplicity 16)
Zn2 0.000 0.173 0.178 (multiplicity 16)
Zn3 0.250 0.250 0.000 (multiplicity 8)
Pd1 0.250 0.000 0.250 (multiplicity 8)

Output
- Fermi-level density of states (states/eV/f.u.) = 6.6
- ρ (g/cm³) = 7.06
- total energy (hartree per atom) = -0.081
- crystal system = orthorhombic

Record 6
Material: Ca2Zn5Pd3
Method: DFT, GGA-PBE
State: relaxed

Cell: 10.141 13.233 5.645 Å, 90.00 90.00 90.00°
Space group Ibam (No. 72)
Unique sites:
Ca1 0.218 0.150 0.000 (multiplicity 8)
Zn1 0.000 0.000 0.250 (multiplicity 4)
Zn2 0.000 0.304 0.250 (multiplicity 8)
Zn3 0.184 0.418 0.000 (multiplicity 8)
Pd1 0.000 0.500 0.250 (multiplicity 4)
Pd2 0.085 0.154 0.500 (multiplicity 8)

Output
- Fermi-level density of states (states/eV/f.u.) = 4.5
- ρ (g/cm³) = 6.37
- total energy (hartree per atom) = -0.114
- crystal system = orthorhombic